1.
An optimized crystal structure of FeSe2. Source: Alexandria, functional PBE-GGA.

```
FeSe2
1.0
9.6452 2.7021 9.6885
6.2461 3.6676 11.9052
-8.0677 -5.1558 -10.1256
Se Fe
4 2
Cartesian
8.8396 3.5432 12.0116
7.0516 2.8265 9.5821
3.9560 1.2067 7.5030
2.1680 0.4900 5.0734
0.0000 0.0000 0.0000
4.7615 0.3656 5.1799
```

## Properties
V	19.98	Å³ per atom
energy	-0.373	Ry per atom
magnetic moment	4.1	Bohr magnetons per cell
raw formation energy	63	meV/atom

---

2.
An optimized crystal structure of Fe9Se8. Source: Alexandria, functional PBE-GGA.

```
Fe9Se8
1.0
-6.5586 2.1414 -1.9917
-2.8437 -3.5280 5.5709
0.5603 4.8231 3.3404
Fe Se
9 8
Cartesian
-3.8488 1.3714 1.2029
-1.9950 -1.4886 4.9689
-0.5809 0.2658 2.1987
-4.7761 2.7558 -0.6928
-2.9140 -0.0552 3.1059
0.2953 2.5420 1.7606
-5.2800 -0.4041 4.0066
-6.2148 1.0225 2.1036
-1.5147 1.6909 0.2977
-3.4954 0.4443 5.3978
-5.3192 3.2277 1.6849
-2.0993 2.1764 2.6628
-6.7153 1.4956 4.4200
-2.7372 5.7367 2.2358
-4.1536 4.0196 5.0537
-0.8798 2.9020 6.0171
0.5367 4.6194 3.1994
```

## Properties
V	17.88	Å³ per atom
energy	-0.464	Ry per atom
magnetic moment	19.6	Bohr magnetons per cell
raw formation energy	-191	meV/atom

---

3.
An optimized crystal structure of FeSe2. Source: Alexandria, functional PBE-GGA.

```
FeSe2
1.0
2.8515 -6.1046 0.0000
2.8515 6.1046 0.0000
0.0000 0.0000 3.6828
Se Fe
4 2
Cartesian
1.2812 -1.4102 0.9207
1.2812 1.4102 0.9207
4.4218 1.4102 2.7621
4.4218 -1.4102 2.7621
0.7653 0.0000 2.7621
4.9377 0.0000 0.9207
```

## Properties
V	21.37	Å³ per atom
energy	-0.379	Ry per atom
magnetic moment	0.2	Bohr magnetons per cell
raw formation energy	-15	meV/atom

---

4.
An optimized crystal structure of Fe2Se3. Source: Alexandria, functional PBE-GGA.

```
Fe2Se3
1.0
0.0000 5.0280 5.3505
3.2970 0.0000 5.3505
3.2970 5.0280 0.0000
Fe Se
4 6
Cartesian
5.4330 5.3857 4.0452
3.7845 2.1562 6.7205
3.7845 7.8997 3.9805
5.4330 4.6702 6.6557
2.5106 2.5140 2.6752
3.2028 5.7230 3.2153
4.8513 6.8469 5.8906
3.2028 4.3329 7.4856
4.8513 3.2090 4.8104
0.8621 5.0280 5.3505
```

## Properties
V	17.74	Å³ per atom
energy	-0.413	Ry per atom
magnetic moment	5.5	Bohr magnetons per cell
raw formation energy	-139	meV/atom